Density functional theory data (GGA-PBE) for a relaxed AgMo3N5 crystal.

Cell: 5.3014 5.3014 4.2736 Å, 90.00 90.00 120.00°
Space group P6/mmm (No. 191)
One atom of each set of equivalent atoms:
1 Ag 0.0000 0.0000 0.0000 x1
2 Mo 0.0000 0.5000 0.5000 x3
3 N 0.0000 0.0000 0.5000 x1
4 N 0.3333 0.6667 0.1534 x4

* E_tot: -7.996 eV per atom
* magnetization: 0.054 μB/cell

=====

Density functional theory data (GGA-PBE) for a relaxed Ta3As5Au crystal.

Cell: 5.5370 5.5370 7.4440 Å, 90.00 90.00 120.00°
Space group P6/mmm (No. 191)
One atom of each set of equivalent atoms:
1 Ta 0.0000 0.5000 0.0000 x3
2 As 0.0000 0.0000 0.0000 x1
3 As 0.3333 0.6667 0.2923 x4
4 Au 0.0000 0.0000 0.5000 x1

* E_tot: -6.803 eV per atom
* magnetization: 0.001 μB/cell